The following is a PBE calculation of a relaxed structure of La3U2Ru4, from Alexandria via LeMat-Bulk.

Cell: 3.852 6.924 8.923 Å, 108.60 90.00 106.15°
Atoms (fractional coordinates):
1 La 0.598 0.197 0.705
2 La 0.000 0.000 0.000
3 La 0.402 0.803 0.295
4 Ru 0.104 0.207 0.432
5 Ru 0.896 0.793 0.568
6 Ru 0.290 0.580 0.916
7 Ru 0.710 0.420 0.084
8 U 0.686 0.372 0.321
9 U 0.314 0.628 0.679

Values from the calculation:
M_tot: 0.0 μB per formula unit
calculated volume: 23.96 Å³ per atom
energy relative to the elements: -2.519 eV/f.u.
energy: -8.553 eV per atom
space group: C2/m (12)